Below is an optimized crystal structure of MnFe5Ge6, with properties calculated at the PBE-GGA level.

Formation energy from the elements   20 meV/atom

a = 4.084 Å, b = 12.297 Å, c = 5.793 Å
α = 90.00°, β = 90.15°, γ = 90.00°
Space group C2/m (No. 12)
One atom of each set of equivalent atoms:
Mn  0.000  0.000  0.000
Fe  0.000  0.000  0.500
Fe  0.000  0.332  0.000
Fe  0.000  0.332  0.500
Ge  0.000  0.166  0.249
Ge  0.000  0.500  0.249

---

Below is an optimized crystal structure of KMg2CdPb2, with properties calculated at the PBE-GGA level.

Formation energy from the elements   40 meV/atom

a = 8.178 Å, b = 8.385 Å, c = 5.444 Å
α = 90.00°, β = 90.00°, γ = 90.00°
Space group Pnnm (No. 58)
One atom of each set of equivalent atoms:
K  0.000  0.000  0.000
Mg  0.201  0.169  0.500
Cd  0.000  0.500  0.500
Pb  0.197  0.798  0.500

---

Below is an optimized crystal structure of MnCo2HPt, with properties calculated at the PBE-GGA level.

Uncorrected energy   -33.23 eV per cell

a = 3.693 Å, b = 3.693 Å, c = 3.809 Å
α = 90.00°, β = 90.00°, γ = 90.00°
Space group P4/mmm (No. 123)
One atom of each set of equivalent atoms:
Mn  0.000  0.000  0.000
Co  0.000  0.500  0.500
H  0.000  0.000  0.500
Pt  0.500  0.500  0.000

---

| no. | N(E_F) (states/eV/f.u.) |
| --- | --- |
| 1 | 6.4 |
| 2 | 3.2 |
| 3 | 6.7 |